Density functional theory data (GGA-PBE) for a relaxed GaSb2IF crystal.

```
GaSb2IF
1.0
5.323 0.000 0.000
0.000 5.323 0.000
0.000 0.000 5.533
I Sb Ga F
1 2 1 1
Direct
0.000 0.000 0.500 I
0.000 0.500 0.000 Sb
0.500 0.000 0.000 Sb
0.000 0.000 0.000 Ga
0.500 0.500 0.500 F
```

Summary:
* density: 4.9 Mg/m³
* E_form (uncorrected): 0.241 eV per atom
* SG: P4/mmm
* energy above the lowest structure with this stoichiometry: 373 meV per atom

***

Density functional theory data (GGA-PBE) for a relaxed GaSbI2F crystal.

```
GaSbI2F
1.0
5.516 0.000 0.000
0.000 5.516 0.000
0.000 0.000 5.407
I Sb Ga F
2 1 1 1
Direct
0.000 0.500 0.000 I
0.500 0.000 0.000 I
0.000 0.000 0.500 Sb
0.000 0.000 0.000 Ga
0.500 0.500 0.500 F
```

Summary:
* density: 4.7 Mg/m³
* E_form (uncorrected): 0.092 eV per atom
* SG: P4/mmm
* energy above the lowest structure with this stoichiometry: 467 meV per atom

***

Density functional theory data (GGA-PBE) for a relaxed SrGa2IF crystal.

```
SrGa2IF
1.0
5.714 0.000 0.000
0.000 5.173 0.000
0.000 0.000 5.714
I Sr Ga F
1 1 2 1
Direct
0.000 0.000 0.000 I
0.500 0.500 0.500 Sr
0.000 0.000 0.500 Ga
0.500 0.000 0.000 Ga
0.000 0.500 0.000 F
```

Summary:
* density: 3.7 Mg/m³
* E_form (uncorrected): -0.262 eV per atom
* SG: P4/mmm